DFT (GGA-PBE) results for a relaxed TmGa3Ag3 crystal.

Calculated values
Formation energy = -0.100 eV/atom
Space group = No. 148
Uncorrected energy = -3.26 eV/atom

Geometry as extended XYZ:
```
14
Lattice="3.9848 2.3006 5.2687 -3.9848 2.3006 5.2687 0.0000 -4.6013 5.2687" Properties=species:S:1:pos:R:3 pbc="T T T"
Tm 0.0000 0.0000 2.6990
Tm 0.0000 0.0000 13.1071
Ga -2.8660 0.0462 6.0693
Ga -1.4730 -2.4589 9.7368
Ga 1.3930 -2.5051 6.0693
Ga -1.3930 2.5051 9.7368
Ga 1.4730 2.4589 6.0693
Ga 2.8660 -0.0462 9.7368
Ag -1.1214 -1.9223 6.9965
Ag -2.2254 0.0101 8.8096
Ag -1.1040 1.9323 6.9965
Ag 1.1040 -1.9323 8.8096
Ag 2.2254 -0.0101 6.9965
Ag 1.1214 1.9223 8.8096
```


DFT (GGA-PBE) results for a relaxed Tm2GaAg crystal.

Calculated values
Formation energy = -0.464 eV/atom
Space group = No. 123
Uncorrected energy = -4.17 eV/atom

Geometry as extended XYZ:
```
4
Lattice="3.5089 0.0000 0.0000 0.0000 3.5089 0.0000 0.0000 0.0000 7.3142" Properties=species:S:1:pos:R:3 pbc="T T T"
Tm 0.0000 0.0000 1.8057
Tm 0.0000 0.0000 5.5086
Ga 1.7545 1.7545 0.0000
Ag 1.7545 1.7545 3.6571
```


DFT (GGA-PBE) results for a relaxed Tm2Ga9Ag crystal.

Calculated values
Formation energy = -0.310 eV/atom
Space group = No. 123
Uncorrected energy = -3.56 eV/atom

Geometry as extended XYZ:
```
12
Lattice="4.2515 0.0000 0.0000 0.0000 4.2515 0.0000 0.0000 0.0000 12.4674" Properties=species:S:1:pos:R:3 pbc="T T T"
Tm 0.0000 0.0000 2.1318
Tm 0.0000 0.0000 10.3355
Ga 0.0000 2.1258 0.0000
Ga 0.0000 2.1258 4.3009
Ga 0.0000 2.1258 8.1664
Ga 2.1258 0.0000 0.0000
Ga 2.1258 0.0000 4.3009
Ga 2.1258 0.0000 8.1664
Ga 2.1258 2.1258 2.0151
Ga 2.1258 2.1258 6.2337
Ga 2.1258 2.1258 10.4523
Ag 0.0000 0.0000 6.2337
```


DFT (GGA-PBE) results for a relaxed TmGaAg3 crystal.

Calculated values
Formation energy = -0.138 eV/atom
Space group = No. 65
Uncorrected energy = -3.35 eV/atom

Geometry as extended XYZ:
```
10
Lattice="2.3474 -13.4554 0.0000 2.3474 13.4554 0.0000 0.0000 0.0000 3.2611" Properties=species:S:1:pos:R:3 pbc="T T T"
Tm 2.3474 8.7782 0.0000
Tm 2.3474 -8.7782 0.0000
Ga 2.3474 3.4094 1.6305
Ga 2.3474 -3.4094 1.6305
Ag 2.3474 11.5867 1.6305
Ag 2.3474 6.0221 1.6305
Ag 2.3474 1.3350 0.0000
Ag 2.3474 -1.3350 0.0000
Ag 2.3474 -6.0221 1.6305
Ag 2.3474 -11.5867 1.6305
```


DFT (GGA-PBE) results for a relaxed TmGa2Ag crystal.

Calculated values
Formation energy = -0.267 eV/atom
Space group = No. 123
Uncorrected energy = -3.61 eV/atom

Geometry as extended XYZ:
```
4
Lattice="3.3695 0.0000 0.0000 0.0000 3.3695 0.0000 0.0000 0.0000 6.9022" Properties=species:S:1:pos:R:3 pbc="T T T"
Tm 0.0000 0.0000 0.0000
Ga 1.6847 1.6847 1.9306
Ga 1.6847 1.6847 4.9716
Ag 0.0000 0.0000 3.4511
```


DFT (GGA-PBE) results for a relaxed Tm4Ga2Ag5 crystal.

Calculated values
Formation energy = -0.328 eV/atom
Space group = No. 10
Uncorrected energy = -3.80 eV/atom

Geometry as extended XYZ:
```
11
Lattice="7.2629 0.0000 0.0000 0.0000 3.7522 0.0000 -0.5352 0.0000 8.8631" Properties=species:S:1:pos:R:3 pbc="T T T"
Tm 1.2453 0.0000 3.2723
Tm 1.3275 0.0000 8.1398
Tm 5.4002 0.0000 0.7234
Tm 5.4823 0.0000 5.5908
Ga 0.4374 1.8761 1.1772
Ga 6.2903 1.8761 7.6859
Ag 0.7839 1.8761 5.6490
Ag 3.1273 1.8761 1.4825
Ag 3.3638 1.8761 4.4316
Ag 3.6003 1.8761 7.3806
Ag 5.9437 1.8761 3.2141
```